(1)
Here is an optimized crystal structure of Bi2IrS2 from Alexandria. Energies are from PBE.

Unit cell a=6.466 b=6.466 c=5.579 alpha=90.00 beta=90.00 gamma=90.00
Element x y z (fractional)
S 0.174 0.326 0.000
S 0.326 0.826 0.000
S 0.674 0.174 0.000
S 0.826 0.674 0.000
Bi 0.811 0.689 0.500
Bi 0.311 0.811 0.500
Bi 0.689 0.189 0.500
Bi 0.189 0.311 0.500
Ir 0.000 0.000 0.000
Ir 0.500 0.500 0.000

Electronic total energy = -4.86 eV per atom
Relative energy among the computed polymorphs = 0.0 meV/atom
Space-group type = P4/mbm (127)
Uncorrected formation energy = 0.1127 eV/atom



(2)
Here is an optimized crystal structure of TmLuAl4 from Alexandria. Energies are from PBE.

Unit cell a=5.498 b=5.498 c=5.498 alpha=60.00 beta=60.00 gamma=60.00
Element x y z (fractional)
Al 0.125 0.625 0.625
Al 0.625 0.625 0.625
Al 0.625 0.125 0.625
Al 0.625 0.625 0.125
Tm 0.250 0.250 0.250
Lu 0.000 0.000 0.000

Electronic total energy = -4.48 eV per atom
Space-group type = F-43m (216)
DFT formation energy = -0.49 eV/atom



(3)
Here is an optimized crystal structure of PaBeO4 from Alexandria. Energies are from PBE.

Unit cell a=5.169 b=5.169 c=5.833 alpha=90.00 beta=90.00 gamma=90.00
Site moments in Bohr magnetons follow the coordinates.
Element x y z (fractional)
Pa 0.000 0.500 0.250  0.03
Pa 0.500 0.000 0.750  0.03
Be 0.000 0.000 0.000  -0.01
Be 0.000 0.000 0.500  -0.01
O 0.220 0.792 0.095  0.20
O 0.208 0.780 0.595  0.20
O 0.208 0.220 0.905  0.20
O 0.780 0.208 0.095  0.20
O 0.792 0.780 0.905  0.20
O 0.792 0.220 0.595  0.20
O 0.220 0.208 0.405  0.20
O 0.780 0.792 0.405  0.20

Electronic total energy = -7.98 eV per atom
Relative energy among the computed polymorphs = 349.3 meV/atom
Space-group type = P-42c (112)
Uncorrected formation energy = -2.4745 eV/atom



(4)
Here is an optimized crystal structure of Ho2AlGePd6 from Alexandria. Energies are from PBE.

Unit cell a=8.193 b=5.623 c=8.191 alpha=69.96 beta=40.15 gamma=90.04
Element x y z (fractional)
Ho 0.796 0.204 0.592
Ho 0.204 0.796 0.408
Pd 0.750 0.251 0.000
Pd 0.250 0.249 0.001
Pd 0.751 0.749 0.500
Pd 0.750 0.751 0.999
Pd 0.249 0.251 0.500
Pd 0.250 0.749 0.000
Al 0.500 0.500 0.000
Ge 0.000 0.000 0.000

Electronic total energy = -5.54 eV per atom
Space-group type = R-3m (166)
DFT formation energy = -0.67 eV/atom



(5)
Here is an optimized crystal structure of RePt8Rh2 from Alexandria. Energies are from PBE.

Unit cell a=5.160 b=6.695 c=6.695 alpha=63.24 beta=101.61 gamma=101.61
Element x y z (fractional)
Pt 0.925 0.204 0.204
Pt 0.209 0.794 0.415
Pt 0.209 0.415 0.794
Pt 0.791 0.585 0.206
Pt 0.697 0.595 0.595
Pt 0.303 0.405 0.405
Pt 0.791 0.206 0.585
Pt 0.075 0.796 0.796
Re 0.000 0.000 0.000
Rh 0.562 0.803 0.803
Rh 0.438 0.197 0.197

Electronic total energy = -6.39 eV per atom
Relative energy among the computed polymorphs = 377.0 meV/atom
Space-group type = C2/m (12)
DFT formation energy = 0.47 eV/atom



(6)
Here is an optimized crystal structure of CeDy2Te from Alexandria. Energies are from PBE.

Unit cell a=3.794 b=3.794 c=10.960 alpha=80.03 beta=80.03 gamma=60.00
Site moments in Bohr magnetons follow the coordinates.
Element x y z (fractional)
Dy 0.102 0.102 0.695  0.20
Dy 0.898 0.898 0.305  0.20
Ce 0.000 0.000 0.000  1.39
Te 0.500 0.500 0.500  0.00

Electronic total energy = -4.74 eV per atom
Relative energy among the computed polymorphs = 345.9 meV/atom
Space-group type = R-3m (166)
Uncorrected formation energy = -0.1729 eV/atom



(7)
Here is an optimized crystal structure of TaZnRe2 from Alexandria. Energies are from PBE.

Unit cell a=5.003 b=5.003 c=5.003 alpha=134.67 beta=134.67 gamma=66.04
Element x y z (fractional)
Ta 0.250 0.750 0.500
Zn 0.750 0.250 0.500
Re 0.500 0.500 0.000
Re 0.000 0.000 0.000

Electronic total energy = -9.33 eV per atom
Space-group type = I4/mmm (139)
DFT formation energy = 0.18 eV/atom



(8)
Here is an optimized crystal structure of LiGdScMn from Alexandria. Energies are from PBE.

Unit cell a=4.893 b=4.893 c=4.893 alpha=60.00 beta=60.00 gamma=60.00
Site moments in Bohr magnetons follow the coordinates.
Element x y z (fractional)
Mn 0.250 0.250 0.250  -3.13
Gd 0.500 0.500 0.500  7.25
Li 0.750 0.750 0.750  0.07
Sc 0.000 0.000 0.000  0.30

Electronic total energy = -7.75 eV per atom
Space-group type = F-43m (216)
DFT formation energy = 0.12 eV/atom



(9)
Here is an optimized crystal structure of LaNd2HoSc from Alexandria. Energies are from PBE.

Unit cell a=6.325 b=9.056 c=6.277 alpha=110.05 beta=90.00 gamma=90.00
Element x y z (fractional)
Nd 0.319 0.313 0.157
Nd 0.319 0.687 0.343
Nd 0.681 0.313 0.657
Nd 0.681 0.687 0.843
Ho 0.838 0.500 0.250
Ho 0.162 0.500 0.750
La 0.000 0.000 0.000
La 0.000 0.000 0.500
Sc 0.501 0.000 0.250
Sc 0.499 0.000 0.750

Electronic total energy = -4.82 eV per atom
Space-group type = P2/c (13)
DFT formation energy = 0.26 eV/atom



(10)
Here is an optimized crystal structure of Ba2SbRhN from Alexandria. Energies are from PBE.

Unit cell a=6.324 b=3.768 c=6.324 alpha=90.00 beta=90.00 gamma=90.00
Element x y z (fractional)
N 0.000 0.500 0.000
Ba 0.500 0.000 0.000
Ba 0.000 0.000 0.500
Rh 0.000 0.000 0.000
Sb 0.500 0.500 0.500

Electronic total energy = -5.16 eV per atom
Relative energy among the computed polymorphs = 174.3 meV/atom
Space-group type = P4/mmm (123)
Uncorrected formation energy = -0.4326 eV/atom